1.
The following is a DFT calculation (PBE-GGA) of a geometry-optimized VCd structure. Values from VASP.

Values from the calculation:
The calculation puts the size of the total moment at 0.00 μB per formula unit. The calculation puts the energy at -4.5962 eV per atom. The space group is No. 19. The calculation puts the energy of formation from the pure elements at 0.421 eV per atom.

Structure (Quantum ESPRESSO input):
```
&SYSTEM
  ibrav = 0, nat = 16, ntyp = 2
/
ATOMIC_SPECIES
V 50.94 V.upf
Cd 112.41 Cd.upf
ATOMIC_POSITIONS crystal
V 0.353 0.111 0.153
V 0.853 0.389 0.847
V 0.647 0.611 0.347
V 0.147 0.889 0.653
V 0.459 0.639 0.511
V 0.959 0.861 0.489
V 0.541 0.139 0.989
V 0.041 0.361 0.011
Cd 0.848 0.083 0.230
Cd 0.348 0.417 0.770
Cd 0.152 0.583 0.270
Cd 0.652 0.917 0.730
Cd 0.042 0.870 0.941
Cd 0.542 0.630 0.059
Cd 0.958 0.370 0.559
Cd 0.458 0.130 0.441
CELL_PARAMETERS angstrom
5.450 0.000 0.000
0.000 5.421 0.000
0.000 0.000 10.030
```

---

2.
The following is a DFT calculation (PBE-GGA) of a geometry-optimized VCd structure. Values from VASP.

Values from the calculation:
The calculation puts the size of the total moment at 3.59 μB per formula unit. The calculation puts the energy at -3.3126 eV per atom. The space group is No. 216. The calculation puts the energy of formation from the pure elements at 1.704 eV per atom.

Structure (Quantum ESPRESSO input):
```
&SYSTEM
  ibrav = 0, nat = 8, ntyp = 2
/
ATOMIC_SPECIES
V 50.94 V.upf
Cd 112.41 Cd.upf
ATOMIC_POSITIONS crystal
V 0.250 0.250 0.250
V 0.250 0.750 0.750
V 0.750 0.250 0.750
V 0.750 0.750 0.250
Cd 0.000 0.000 0.000
Cd 0.000 0.500 0.500
Cd 0.500 0.000 0.500
Cd 0.500 0.500 0.000
CELL_PARAMETERS angstrom
-0.529 5.140 -3.586
-6.217 -0.884 -0.350
-0.790 3.516 5.155
```

---

3.
The following is a DFT calculation (PBE-GGA) of a geometry-optimized VCd structure. Values from VASP.

Values from the calculation:
The calculation puts the size of the total moment at 3.92 μB per formula unit. The calculation puts the energy at -3.2743 eV per atom. The space group is No. 223. The calculation puts the energy of formation from the pure elements at 1.743 eV per atom.

Structure (Quantum ESPRESSO input):
```
&SYSTEM
  ibrav = 0, nat = 12, ntyp = 2
/
ATOMIC_SPECIES
V 50.94 V.upf
Cd 112.41 Cd.upf
ATOMIC_POSITIONS crystal
V 0.250 0.000 0.500
V 0.750 0.000 0.500
V 0.000 0.500 0.250
V 0.000 0.500 0.750
V 0.500 0.250 0.000
V 0.500 0.750 0.000
Cd 0.250 0.500 0.000
Cd 0.750 0.500 0.000
Cd 0.500 0.000 0.250
Cd 0.500 0.000 0.750
Cd 0.000 0.250 0.500
Cd 0.000 0.750 0.500
CELL_PARAMETERS angstrom
-0.019 -0.701 -7.797
4.408 -6.444 0.569
-6.469 -4.388 0.410
```

---

4.
The following is a DFT calculation (PBE-GGA) of a geometry-optimized V2Cd2W structure. Values from VASP.

Values from the calculation:
The calculation puts the size of the total moment at 0.00 μB per formula unit. The calculation puts the energy at -5.8060 eV per atom. The energy above the most stable polymorph in this dataset is 0.00 eV/f.u. The space group is No. 139. The calculation puts the energy of formation from the pure elements at 0.798 eV per atom.

Structure (Quantum ESPRESSO input):
```
&SYSTEM
  ibrav = 0, nat = 5, ntyp = 3
/
ATOMIC_SPECIES
Cd 112.41 Cd.upf
W 183.84 W.upf
V 50.94 V.upf
ATOMIC_POSITIONS crystal
Cd 0.750 0.250 0.500
Cd 0.250 0.750 0.500
W 0.000 0.000 0.000
V 0.421 0.421 0.158
V 0.579 0.579 0.842
CELL_PARAMETERS angstrom
3.824 0.000 0.000
0.000 3.824 0.000
1.912 1.912 6.129
```

---

5.
The following is a DFT calculation (PBE-GGA) of a geometry-optimized V2CdW structure. Values from VASP.

Values from the calculation:
The calculation puts the size of the total moment at 0.00 μB per formula unit. The calculation puts the energy at -7.8663 eV per atom. The space group is No. 123. The calculation puts the energy of formation from the pure elements at 0.160 eV per atom.

Structure (Quantum ESPRESSO input):
```
&SYSTEM
  ibrav = 0, nat = 4, ntyp = 3
/
ATOMIC_SPECIES
V 50.94 V.upf
W 183.84 W.upf
Cd 112.41 Cd.upf
ATOMIC_POSITIONS crystal
V 0.000 0.000 0.784
V 0.000 0.000 0.216
W 0.500 0.500 0.000
Cd 0.500 0.500 0.500
CELL_PARAMETERS angstrom
3.158 0.000 0.000
0.000 3.158 0.000
0.000 0.000 6.407
```

---

6.
The following is a DFT calculation (PBE-GGA) of a geometry-optimized VCd2W structure. Values from VASP.

Values from the calculation:
The calculation puts the size of the total moment at 1.27 μB per formula unit. The calculation puts the energy at -5.1252 eV per atom. The energy above the most stable polymorph in this dataset is 0.00 eV/f.u. The space group is No. 225. The calculation puts the energy of formation from the pure elements at 0.850 eV per atom.

Structure (Quantum ESPRESSO input):
```
&SYSTEM
  ibrav = 0, nat = 4, ntyp = 3
/
ATOMIC_SPECIES
Cd 112.41 Cd.upf
W 183.84 W.upf
V 50.94 V.upf
ATOMIC_POSITIONS crystal
Cd 0.250 0.250 0.250
Cd 0.750 0.750 0.750
W 0.500 0.500 0.500
V 0.000 0.000 0.000
CELL_PARAMETERS angstrom
0.000 3.305 3.305
3.305 0.000 3.305
3.305 3.305 0.000
```

---

7.
The following is a DFT calculation (PBE-GGA) of a geometry-optimized V3CdW structure. Values from VASP.

Values from the calculation:
The calculation puts the size of the total moment at 0.00 μB per formula unit. The calculation puts the energy at -6.9972 eV per atom. The energy above the most stable polymorph in this dataset is 0.00 eV/f.u. The space group is No. 221. The calculation puts the energy of formation from the pure elements at 1.248 eV per atom.

Structure (Quantum ESPRESSO input):
```
&SYSTEM
  ibrav = 0, nat = 5, ntyp = 3
/
ATOMIC_SPECIES
Cd 112.41 Cd.upf
W 183.84 W.upf
V 50.94 V.upf
ATOMIC_POSITIONS crystal
Cd 0.500 0.500 0.500
W 0.000 0.000 0.000
V 0.000 0.500 0.000
V 0.000 0.000 0.500
V 0.500 0.000 0.000
CELL_PARAMETERS angstrom
-1.828 -1.625 -3.923
0.802 -4.327 1.418
-4.170 -0.120 1.993
```

---

8.
The following is a DFT calculation (PBE-GGA) of a geometry-optimized VCdW3 structure. Values from VASP.

Values from the calculation:
The calculation puts the size of the total moment at 0.00 μB per formula unit. The calculation puts the energy at -8.1969 eV per atom. The energy above the most stable polymorph in this dataset is 0.00 eV/f.u. The space group is No. 221. The calculation puts the energy of formation from the pure elements at 1.582 eV per atom.

Structure (Quantum ESPRESSO input):
```
&SYSTEM
  ibrav = 0, nat = 5, ntyp = 3
/
ATOMIC_SPECIES
Cd 112.41 Cd.upf
W 183.84 W.upf
V 50.94 V.upf
ATOMIC_POSITIONS crystal
Cd 0.500 0.500 0.500
W 0.000 0.500 0.000
W 0.000 0.000 0.500
W 0.500 0.000 0.000
V 0.000 0.000 0.000
CELL_PARAMETERS angstrom
-2.638 -3.593 -1.072
2.713 -0.924 -3.579
2.589 -2.694 2.657
```

---

9.
The following is a DFT calculation (PBE-GGA) of a geometry-optimized VCd2W structure. Values from VASP.

Values from the calculation:
The calculation puts the size of the total moment at 0.93 μB per formula unit. The calculation puts the energy at -4.8458 eV per atom. The energy above the most stable polymorph in this dataset is 1.12 eV/f.u. The space group is No. 122. The calculation puts the energy of formation from the pure elements at 1.130 eV per atom.

Structure (Quantum ESPRESSO input):
```
&SYSTEM
  ibrav = 0, nat = 8, ntyp = 3
/
ATOMIC_SPECIES
Cd 112.41 Cd.upf
W 183.84 W.upf
V 50.94 V.upf
ATOMIC_POSITIONS crystal
Cd 0.618 0.125 0.250
Cd 0.132 0.625 0.250
Cd 0.375 0.382 0.750
Cd 0.875 0.868 0.750
W 0.000 0.000 0.000
W 0.750 0.250 0.500
V 0.500 0.500 0.000
V 0.250 0.750 0.500
CELL_PARAMETERS angstrom
7.537 0.000 0.000
0.000 7.537 0.000
3.769 3.769 2.685
```

---

10.
The following is a DFT calculation (PBE-GGA) of a geometry-optimized V2CdW structure. Values from VASP.

Values from the calculation:
The calculation puts the size of the total moment at 0.00 μB per formula unit. The calculation puts the energy at -7.1202 eV per atom. The space group is No. 122. The calculation puts the energy of formation from the pure elements at 0.906 eV per atom.

Structure (Quantum ESPRESSO input):
```
&SYSTEM
  ibrav = 0, nat = 8, ntyp = 3
/
ATOMIC_SPECIES
Cd 112.41 Cd.upf
W 183.84 W.upf
V 50.94 V.upf
ATOMIC_POSITIONS crystal
Cd 0.500 0.500 0.000
Cd 0.250 0.750 0.500
W 0.000 0.000 0.000
W 0.750 0.250 0.500
V 0.653 0.125 0.250
V 0.097 0.625 0.250
V 0.375 0.347 0.750
V 0.875 0.903 0.750
CELL_PARAMETERS angstrom
-4.250 5.372 1.831
-4.348 -4.552 3.263
-2.887 0.732 4.879
```

---

11.
The following is a DFT calculation (PBE-GGA) of a geometry-optimized V3CdW structure. Values from VASP.

Values from the calculation:
The calculation puts the size of the total moment at 5.49 μB per formula unit. The calculation puts the energy at -5.9289 eV per atom. The energy above the most stable polymorph in this dataset is 5.34 eV/f.u. The space group is No. 221. The calculation puts the energy of formation from the pure elements at 2.316 eV per atom.

Structure (Quantum ESPRESSO input):
```
&SYSTEM
  ibrav = 0, nat = 5, ntyp = 3
/
ATOMIC_SPECIES
Cd 112.41 Cd.upf
W 183.84 W.upf
V 50.94 V.upf
ATOMIC_POSITIONS crystal
Cd 0.000 0.000 0.000
W 0.500 0.500 0.500
V 0.000 0.500 0.000
V 0.000 0.000 0.500
V 0.500 0.000 0.000
CELL_PARAMETERS angstrom
4.749 0.000 0.000
0.000 4.749 0.000
0.000 0.000 4.749
```

---

12.
The following is a DFT calculation (PBE-GGA) of a geometry-optimized VCdW structure. Values from VASP.

Values from the calculation:
The calculation puts the size of the total moment at 0.33 μB per formula unit. The calculation puts the energy at -6.9636 eV per atom. The space group is No. 69. The calculation puts the energy of formation from the pure elements at 0.699 eV per atom.

Structure (Quantum ESPRESSO input):
```
&SYSTEM
  ibrav = 0, nat = 6, ntyp = 3
/
ATOMIC_SPECIES
W 183.84 W.upf
Cd 112.41 Cd.upf
V 50.94 V.upf
ATOMIC_POSITIONS crystal
W 0.750 0.500 0.500
W 0.250 0.500 0.500
Cd 0.823 0.355 0.000
Cd 0.177 0.645 0.000
V 0.672 0.000 0.657
V 0.328 0.000 0.343
CELL_PARAMETERS angstrom
5.392 0.000 0.000
2.696 4.089 0.000
2.696 0.000 5.056
```

---

> The highest energy belongs to which entry?

number 3

---

> Which of these has the lowest energy?

VCdW3